[1]
# KBC3

A relaxed structure of KBC3 (GGA-PBE, Alexandria).

Total magnetization, μB/atom: 1.60
E above lowest polymorph, kJ/mol of formula units: 1162
Formation energy, eV/atom: 5.014

a = 5.5400 Å, b = 5.5400 Å, c = 5.5400 Å
α = 90.00°, β = 90.00°, γ = 90.00°
Fractional positions:
K (0.0000, 0.0000, 0.0000)
C (0.0000, 0.5000, 0.0000)
C (0.0000, 0.0000, 0.5000)
C (0.5000, 0.0000, 0.0000)
B (0.5000, 0.5000, 0.5000)

---

[2]
# KBC3

A relaxed structure of KBC3 (GGA-PBE, Alexandria).

Total magnetization, μB/atom: 0.00
E above lowest polymorph, kJ/mol of formula units: 0
Formation energy, eV/atom: 2.606

a = 3.7020 Å, b = 3.7020 Å, c = 3.7020 Å
α = 90.00°, β = 90.00°, γ = 90.00°
Fractional positions:
C (0.0000, 0.5000, 0.0000)
C (0.0000, 0.0000, 0.5000)
C (0.5000, 0.0000, 0.0000)
K (0.5000, 0.5000, 0.5000)
B (0.0000, 0.0000, 0.0000)

---

Q: The highest formation energy belongs to which entry?
A: number 1

---

Q: Which of these has the highest total magnetization?
A: number 1

---

Q: What is the total magnetization in the first record?
A: 1.60 μB/atom

---

Q: What is the formation energy in the second record?
A: 2.606 eV/atom